# 1
# Ti3PtC (meta-GGA SCAN, single point on PBEsol structure)
data_Ti3PtC
_chemical_formula_sum 'Ti3 Pt1 C1'
_cell_length_a 4.104
_cell_length_b 4.104
_cell_length_c 4.104
_cell_angle_alpha 90.00
_cell_angle_beta 90.00
_cell_angle_gamma 90.00
_symmetry_space_group_name_H-M 'P m -3 m'
_symmetry_Int_Tables_number 221
_symmetry_space_group_name_Hall '-P 4 2 3'
loop_
_atom_site_label
_atom_site_type_symbol
_atom_site_fract_x
_atom_site_fract_y
_atom_site_fract_z
Ti1 Ti 0.000 0.000 0.500
Pt1 Pt 0.500 0.500 0.500
C1 C 0.000 0.000 0.000
# total energy	-133.1	eV/cell
# volume	13.8	A^3/atom
# energy above the lowest structure with this stoichiometry	75	meV per atom

---

# 2
# Tl2GaIr (meta-GGA SCAN, single point on PBEsol structure)
data_Tl2GaIr
_chemical_formula_sum 'Tl8 Ga4 Ir4'
_cell_length_a 6.826
_cell_length_b 6.826
_cell_length_c 6.826
_cell_angle_alpha 90.00
_cell_angle_beta 90.00
_cell_angle_gamma 90.00
_symmetry_space_group_name_H-M 'F m -3 m'
_symmetry_Int_Tables_number 225
_symmetry_space_group_name_Hall '-F 4 2 3'
loop_
_atom_site_label
_atom_site_type_symbol
_atom_site_fract_x
_atom_site_fract_y
_atom_site_fract_z
Tl1 Tl 0.250 0.250 0.250
Ga1 Ga 0.000 0.000 0.000
Ir1 Ir 0.000 0.000 0.500
# total energy	-919.0	eV/cell
# volume	19.9	A^3/atom

---

Number 1: ΔH_f (0 K) -0.9460 eV/atom. Number 2: ΔH_f (0 K) 0.6011 eV/atom.